# GGA-PBE CaMgCu5, relaxed
# - total energy (Ry/atom) = -0.262
# - formation energy (meV/atom) = -131
# - ΔE to the lowest computed polymorph (meV per atom) = 0
data_CaMgCu5
_chemical_formula_sum 'Ca4 Mg4 Cu20'
_cell_length_a 8.321
_cell_length_b 5.037
_cell_length_c 10.580
_cell_angle_alpha 90.00
_cell_angle_beta 90.00
_cell_angle_gamma 90.00
_symmetry_space_group_name_H-M 'P 1'
_symmetry_Int_Tables_number 1
_symmetry_space_group_name_Hall 'P 1'
loop_
_atom_site_label
_atom_site_fract_x
_atom_site_fract_y
_atom_site_fract_z
_atom_site_occupancy
Ca1 0.245 0.250 0.063 1
Ca2 0.255 0.750 0.563 1
Ca3 0.745 0.250 0.437 1
Ca4 0.755 0.750 0.937 1
Mg1 0.138 0.750 0.863 1
Mg2 0.362 0.250 0.363 1
Mg3 0.638 0.750 0.637 1
Mg4 0.862 0.250 0.137 1
Cu1 0.049 0.750 0.108 1
Cu2 0.067 0.004 0.314 1
Cu3 0.067 0.496 0.314 1
Cu4 0.086 0.250 0.517 1
Cu5 0.187 0.250 0.742 1
Cu6 0.313 0.750 0.242 1
Cu7 0.414 0.750 0.017 1
Cu8 0.433 0.504 0.814 1
Cu9 0.433 0.996 0.814 1
Cu10 0.451 0.250 0.608 1
Cu11 0.549 0.750 0.392 1
Cu12 0.567 0.004 0.186 1
Cu13 0.567 0.496 0.186 1
Cu14 0.586 0.250 0.983 1
Cu15 0.687 0.250 0.758 1
Cu16 0.813 0.750 0.258 1
Cu17 0.914 0.750 0.483 1
Cu18 0.933 0.504 0.686 1
Cu19 0.933 0.996 0.686 1
Cu20 0.951 0.250 0.892 1

=====

# GGA-PBE Ba2UP2O10, relaxed
# - total energy (Ry/atom) = -0.581
# - uncorrected formation energy (eV/atom) = -2.865
# - ΔE to the lowest computed polymorph (meV per atom) = 7
data_Ba2UP2O10
_chemical_formula_sum 'Ba2 U1 P2 O10'
_cell_length_a 6.956
_cell_length_b 6.956
_cell_length_c 7.156
_cell_angle_alpha 101.66
_cell_angle_beta 101.66
_cell_angle_gamma 46.75
_symmetry_space_group_name_H-M 'P 1'
_symmetry_Int_Tables_number 1
_symmetry_space_group_name_Hall 'P 1'
loop_
_atom_site_label
_atom_site_fract_x
_atom_site_fract_y
_atom_site_fract_z
_atom_site_occupancy
Ba1 0.162 0.162 0.204 1
Ba2 0.838 0.838 0.796 1
U1 0.500 0.500 0.500 1
P1 0.146 0.146 0.726 1
P2 0.854 0.854 0.274 1
O1 0.051 0.051 0.825 1
O2 0.087 0.635 0.413 1
O3 0.254 0.254 0.869 1
O4 0.365 0.913 0.587 1
O5 0.466 0.466 0.734 1
O6 0.534 0.534 0.266 1
O7 0.635 0.087 0.413 1
O8 0.746 0.746 0.131 1
O9 0.913 0.365 0.587 1
O10 0.949 0.949 0.175 1

=====

# GGA-PBE Hg13Br2, relaxed
# - total energy (Ry/atom) = -0.039
# - uncorrected formation energy (eV/atom) = -0.047
# - ΔE to the lowest computed polymorph (meV per atom) = 11
data_Hg13Br2
_chemical_formula_sum 'Hg13 Br2'
_cell_length_a 7.966
_cell_length_b 7.966
_cell_length_c 7.966
_cell_angle_alpha 91.61
_cell_angle_beta 91.61
_cell_angle_gamma 91.61
_symmetry_space_group_name_H-M 'P 1'
_symmetry_Int_Tables_number 1
_symmetry_space_group_name_Hall 'P 1'
loop_
_atom_site_label
_atom_site_fract_x
_atom_site_fract_y
_atom_site_fract_z
_atom_site_occupancy
Hg1 0.000 0.000 0.000 1
Hg2 0.186 0.514 0.514 1
Hg3 0.199 0.199 0.742 1
Hg4 0.199 0.742 0.199 1
Hg5 0.258 0.801 0.801 1
Hg6 0.486 0.486 0.814 1
Hg7 0.486 0.814 0.486 1
Hg8 0.514 0.186 0.514 1
Hg9 0.514 0.514 0.186 1
Hg10 0.742 0.199 0.199 1
Hg11 0.801 0.258 0.801 1
Hg12 0.801 0.801 0.258 1
Hg13 0.814 0.486 0.486 1
Br1 0.217 0.217 0.217 1
Br2 0.783 0.783 0.783 1

=====

# GGA-PBE Cs2CoBr4, relaxed
# - total energy (Ry/atom) = -0.243
# - uncorrected formation energy (eV/atom) = -1.097
data_Cs2CoBr4
_chemical_formula_sum 'Cs2 Co1 Br4'
_cell_length_a 9.618
_cell_length_b 9.618
_cell_length_c 9.618
_cell_angle_alpha 147.55
_cell_angle_beta 147.55
_cell_angle_gamma 46.55
_symmetry_space_group_name_H-M 'P 1'
_symmetry_Int_Tables_number 1
_symmetry_space_group_name_Hall 'P 1'
loop_
_atom_site_label
_atom_site_fract_x
_atom_site_fract_y
_atom_site_fract_z
_atom_site_occupancy
Cs1 0.142 0.142 0.000 1
Cs2 0.858 0.858 0.000 1
Co1 0.500 0.500 0.000 1
Br1 0.000 0.500 0.500 1
Br2 0.354 0.354 0.000 1
Br3 0.500 0.000 0.500 1
Br4 0.646 0.646 0.000 1